Record 1
Entry from the Open Quantum Materials Database: a relaxed Na5Zr2F13 crystal (PBE).

Values from the calculation:
* crystal system: monoclinic
* energy relative to the lowest polymorph listed for this composition: 158 meV/atom
* total magnetization: 0.00 μB per formula unit

a b c (Å): 11.658 5.347 8.608
angles (deg): 90.00 97.43 90.00
Space group C2/m (No. 12)
One atom of each set of equivalent atoms:
Na  0.000  0.000  0.000
Na  0.158  0.500  0.108
Na  0.184  0.000  0.399
Zr  0.085  0.000  0.730
F  0.000  0.000  0.500
F  0.055  0.233  0.238
F  0.146  0.227  0.915
F  0.184  0.238  0.624

Record 2
Entry from the Open Quantum Materials Database: a relaxed TmSn2 crystal (PBE).

Values from the calculation:
* crystal system: cubic
* total magnetization: 0.01 μB per formula unit
* E: -0.3168 Ry/atom

a b c (Å): 8.666 8.666 8.666
angles (deg): 90.00 90.00 90.00
Space group Fd-3m (No. 227, origin choice 2)
One atom of each set of equivalent atoms:
Tm  0.125  0.125  0.125
Sn  0.000  0.000  0.500

Record 3
Entry from the Open Quantum Materials Database: a relaxed PmTlCu crystal (PBE).

Values from the calculation:
* crystal system: cubic
* energy relative to the lowest polymorph listed for this composition: 134 meV/atom
* total magnetization: 0.02 μB per formula unit

a b c (Å): 6.998 6.998 6.998
angles (deg): 90.00 90.00 90.00
Space group F-43m (No. 216)
One atom of each set of equivalent atoms:
Pm  0.000  0.000  0.000
Tl  0.250  0.250  0.250
Cu  0.250  0.250  0.750

Record 4
Entry from the Open Quantum Materials Database: a relaxed RbIr2O6 crystal (PBE).

Values from the calculation:
* crystal system: cubic
* energy relative to the lowest polymorph listed for this composition: 0 meV/atom
* total magnetization: 1.21 μB per formula unit

a b c (Å): 10.110 10.110 10.110
angles (deg): 90.00 90.00 90.00
Space group Fd-3m (No. 227, origin choice 2)
One atom of each set of equivalent atoms:
Rb  0.125  0.125  0.125
Ir  0.000  0.000  0.500
O  0.072  0.375  0.875

Record 5
Entry from the Open Quantum Materials Database: a relaxed BaLiGeAu crystal (PBE).

Values from the calculation:
* crystal system: cubic
* energy relative to the lowest polymorph listed for this composition: 8 meV/atom

a b c (Å): 7.253 7.253 7.253
angles (deg): 90.00 90.00 90.00
Space group F-43m (No. 216)
One atom of each set of equivalent atoms:
Ba  0.000  0.000  0.000
Li  0.250  0.250  0.250
Ge  0.000  0.000  0.500
Au  0.250  0.250  0.750

Record 6
Entry from the Open Quantum Materials Database: a relaxed RbHfB crystal (PBE).

Values from the calculation:
* crystal system: cubic
* energy relative to the lowest polymorph listed for this composition: 972 meV/atom
* total magnetization: 0.00 μB per formula unit

a b c (Å): 6.399 6.399 6.399
angles (deg): 90.00 90.00 90.00
Space group F-43m (No. 216)
One atom of each set of equivalent atoms:
Rb  0.000  0.000  0.000
Hf  0.250  0.250  0.250
B  0.250  0.250  0.750

Record 7
Entry from the Open Quantum Materials Database: a relaxed NdIn4GaIr crystal (PBE).

Values from the calculation:
* crystal system: tetragonal
* total magnetization: 0.01 μB per formula unit
* E: -0.3184 Ry/atom

a b c (Å): 4.634 4.634 7.589
angles (deg): 90.00 90.00 90.00
Space group P4/mmm (No. 123)
One atom of each set of equivalent atoms:
Nd  0.000  0.000  0.000
In  0.000  0.500  0.301
Ga  0.500  0.500  0.000
Ir  0.000  0.000  0.500

Record 8
Entry from the Open Quantum Materials Database: a relaxed ScCdCuAu crystal (PBE).

Values from the calculation:
* crystal system: cubic
* energy relative to the lowest polymorph listed for this composition: 111 meV/atom
* total magnetization: 0.01 μB per formula unit
* ΔH_f (0 K): -0.292 eV per atom

a b c (Å): 6.555 6.555 6.555
angles (deg): 90.00 90.00 90.00
Space group F-43m (No. 216)
One atom of each set of equivalent atoms:
Sc  0.000  0.000  0.000
Cd  0.250  0.250  0.250
Cu  0.250  0.250  0.750
Au  0.000  0.000  0.500

Record 9
Entry from the Open Quantum Materials Database: a relaxed Ta2Ni2Ge3 crystal (PBE).

Values from the calculation:
* crystal system: trigonal
* total magnetization: 0.01 μB per formula unit
* E: -0.5038 Ry/atom

a b c (Å): 4.0272 4.0272 24.1826
angles (deg): 90.00 90.00 120.00
Space group R3m (No. 160, hexagonal axes)
One atom of each set of equivalent atoms:
Ta  0.0000  0.0000  0.0000
Ta  0.0000  0.0000  0.4917
Ni  0.0000  0.0000  0.2477
Ni  0.0000  0.0000  0.7430
Ge  0.0000  0.0000  0.3889
Ge  0.0000  0.0000  0.6119
Ge  0.0000  0.0000  0.8621

Record 10
Entry from the Open Quantum Materials Database: a relaxed Pr2Cu3Au crystal (PBE).

Values from the calculation:
* crystal system: monoclinic
* total magnetization: 0.01 μB per formula unit
* ΔH_f (0 K): -0.364 eV per atom

a b c (Å): 10.555 4.438 7.232
angles (deg): 90.00 132.84 90.00
Space group Cm (No. 8)
One atom of each set of equivalent atoms:
Pr  0.000  0.000  0.000
Pr  0.067  0.000  0.567
Cu  0.184  0.500  0.974
Cu  0.212  0.500  0.417
Cu  0.366  0.000  0.576
Au  0.371  0.000  0.157

Record 11
Entry from the Open Quantum Materials Database: a relaxed BeNbTlCu crystal (PBE).

Values from the calculation:
* crystal system: cubic
* energy relative to the lowest polymorph listed for this composition: 117 meV/atom
* total magnetization: 0.92 μB per formula unit

a b c (Å): 6.378 6.378 6.378
angles (deg): 90.00 90.00 90.00
Space group F-43m (No. 216)
One atom of each set of equivalent atoms:
Be  0.000  0.000  0.000
Nb  0.250  0.250  0.250
Tl  0.000  0.000  0.500
Cu  0.250  0.250  0.750

Record 12
Entry from the Open Quantum Materials Database: a relaxed FeTcSbW crystal (PBE).

Values from the calculation:
* crystal system: cubic
* energy relative to the lowest polymorph listed for this composition: 0 meV/atom
* total magnetization: 1.97 μB per formula unit

a b c (Å): 6.274 6.274 6.274
angles (deg): 90.00 90.00 90.00
Space group F-43m (No. 216)
One atom of each set of equivalent atoms:
Fe  0.000  0.000  0.000
Tc  0.000  0.000  0.500
Sb  0.250  0.250  0.750
W  0.250  0.250  0.250